1.
A relaxed MnSiSe crystal, computed with PBE-GGA.

a b c (Å): 4.206 4.206 3.264
angles (deg): 90.00 90.00 120.00
Site moments in Bohr magnetons follow the coordinates.
Fractional coordinates of all 3 atoms:
Mn 0.000 0.000 0.166  3.04
Se 0.667 0.333 0.167  -0.04
Si 0.333 0.667 0.668  -0.10

=====

2.
A relaxed MnSi2Se crystal, computed with PBE-GGA.

a b c (Å): 4.568 4.568 3.109
angles (deg): 90.00 90.00 105.14
Site moments in Bohr magnetons follow the coordinates.
Fractional coordinates of all 4 atoms:
Se 0.000 0.500 0.500  0.01
Si 0.500 0.500 0.000  -0.05
Si 0.000 0.000 0.000  -0.05
Mn 0.500 0.000 0.500  3.17

=====

3.
A relaxed MnSiSe2 crystal, computed with PBE-GGA.

a b c (Å): 5.579 5.579 6.757
angles (deg): 65.62 65.62 90.00
Fractional coordinates of all 8 atoms:
Se 0.658 0.125 0.250
Se 0.875 0.908 0.750
Se 0.092 0.625 0.250
Se 0.375 0.342 0.750
Si 0.500 0.500 0.000
Si 0.250 0.750 0.500
Mn 0.000 0.000 0.000
Mn 0.750 0.250 0.500

=====

4.
A relaxed Mn4SiSe crystal, computed with PBE-GGA.

a b c (Å): 4.759 4.759 4.759
angles (deg): 60.00 60.00 60.00
Site moments in Bohr magnetons follow the coordinates.
Fractional coordinates of all 6 atoms:
Si 0.000 0.000 0.000  -0.07
Mn 0.375 0.375 0.875  1.03
Mn 0.875 0.375 0.375  1.03
Mn 0.375 0.875 0.375  1.03
Mn 0.375 0.375 0.375  1.03
Se 0.750 0.750 0.750  -0.07

=====

5.
A relaxed MnSiSe2 crystal, computed with PBE-GGA.

a b c (Å): 3.414 5.978 7.662
angles (deg): 38.82 90.00 90.00
Site moments in Bohr magnetons follow the coordinates.
Fractional coordinates of all 4 atoms:
Se 0.000 0.278 0.980  -0.04
Se 0.000 0.222 0.520  -0.04
Mn 0.500 0.750 0.750  2.95
Si 0.500 0.250 0.250  -0.09

=====

6.
A relaxed MnSiSe2 crystal, computed with PBE-GGA.

a b c (Å): 3.266 3.266 6.691
angles (deg): 90.00 90.00 90.00
Site moments in Bohr magnetons follow the coordinates.
Fractional coordinates of all 4 atoms:
Se 0.000 0.000 0.982  -0.06
Se 0.000 0.000 0.518  -0.06
Si 0.500 0.500 0.250  0.00
Mn 0.500 0.500 0.750  3.71

=====

7.
A relaxed MnSi2Se crystal, computed with PBE-GGA.

a b c (Å): 3.784 3.784 6.363
angles (deg): 90.01 90.01 59.99
Site moments in Bohr magnetons follow the coordinates.
Fractional coordinates of all 4 atoms:
Mn 0.458 0.458 0.508  3.92
Si 0.125 0.125 0.919  0.05
Si 0.792 0.792 0.775  -0.01
Se 0.125 0.125 0.298  0.07

=====

8.
A relaxed MnSiSe2 crystal, computed with PBE-GGA.

a b c (Å): 2.850 2.850 8.798
angles (deg): 90.00 90.00 89.98
Fractional coordinates of all 4 atoms:
Mn 0.500 0.500 0.738
Se 0.000 0.000 0.896
Se 0.500 0.500 0.297
Si 0.000 0.000 0.569

=====

9.
A relaxed MnSi2Se crystal, computed with PBE-GGA.

a b c (Å): 3.591 3.680 5.290
angles (deg): 70.26 90.00 90.00
Site moments in Bohr magnetons follow the coordinates.
Fractional coordinates of all 4 atoms:
Se 0.500 0.751 0.696  -0.01
Si 0.000 0.988 0.125  -0.07
Si 0.500 0.412 0.166  -0.04
Mn 0.000 0.349 0.514  3.21

=====

10.
A relaxed MnSi2Se crystal, computed with PBE-GGA.

a b c (Å): 4.353 4.353 4.353
angles (deg): 122.25 122.25 86.14
Fractional coordinates of all 4 atoms:
Mn 0.500 0.500 0.000
Si 0.250 0.750 0.500
Si 0.000 0.000 0.000
Se 0.750 0.250 0.500

=====

11.
A relaxed MnSiSe2 crystal, computed with PBE-GGA.

a b c (Å): 3.206 3.206 7.331
angles (deg): 90.00 90.00 90.00
Site moments in Bohr magnetons follow the coordinates.
Fractional coordinates of all 4 atoms:
Se 0.000 0.000 0.898  -0.12
Se 0.500 0.500 0.360  -0.06
Si 0.000 0.000 0.539  -0.07
Mn 0.500 0.500 0.703  2.56

=====

12.
A relaxed MnSi2Se crystal, computed with PBE-GGA.

a b c (Å): 5.259 5.259 5.259
angles (deg): 143.11 129.79 63.91
Site moments in Bohr magnetons follow the coordinates.
Fractional coordinates of all 4 atoms:
Mn 0.548 0.548 0.000  3.33
Se 0.197 0.697 0.500  -0.03
Si 0.977 0.977 0.000  -0.06
Si 0.777 0.277 0.500  -0.06

=====

13.
A relaxed MnSi2Se crystal, computed with PBE-GGA.

a b c (Å): 5.536 5.536 5.536
angles (deg): 144.73 137.79 56.14
Site moments in Bohr magnetons follow the coordinates.
Fractional coordinates of all 4 atoms:
Se 0.250 0.750 0.500  -0.02
Si 0.526 0.526 0.000  -0.04
Si 0.974 0.974 0.000  -0.04
Mn 0.750 0.250 0.500  3.41

=====

14.
A relaxed MnSiSe2 crystal, computed with PBE-GGA.

a b c (Å): 3.818 3.818 7.294
angles (deg): 90.00 90.00 123.56
Site moments in Bohr magnetons follow the coordinates.
Fractional coordinates of all 4 atoms:
Se 0.000 0.000 0.506  0.02
Se 0.000 0.000 0.994  0.02
Mn 0.500 0.500 0.750  3.98
Si 0.500 0.500 0.250  -0.03

=====

| no. | formation energy (no corrections) (eV/atom) |
| --- | --- |
| 1 | 0.280 |
| 2 | 0.398 |
| 3 | 0.248 |
| 4 | 0.427 |
| 5 | -0.067 |
| 6 | 0.242 |
| 7 | 0.027 |
| 8 | 0.125 |
| 9 | 0.088 |
| 10 | 0.516 |
| 11 | -0.014 |
| 12 | 0.335 |
| 13 | 0.314 |
| 14 | 0.155 |